Entry 1:
{"formula": "YIr2Au", "functional": "GGA-PBE", "state": "optimized geometry", "lattice_angstrom": [[4.8040, -1.5220, 0.0000], [4.8040, 1.5220, 0.0000], [-1.0437, 0.0000, 4.9414]], "species": ["Y", "Ir", "Ir", "Au"], "fractional_positions": [[0.0000, 0.0000, 0.0000], [0.2486, 0.2486, 0.7220], [0.7514, 0.7514, 0.2780], [0.5000, 0.5000, 0.5000]], "delta_e_f_ev_per_atom": -0.17, "final_energy_ev_per_cell": -28.2, "n_ef_per_ev_cell": 2.42}

Entry 2:
{"formula": "ScMnMo2", "functional": "GGA-PBE", "state": "optimized geometry", "lattice_angstrom": [[3.7840, 0.0000, 0.0000], [0.0000, 3.7840, 0.0000], [0.0000, 0.0000, 4.6129]], "species": ["Sc", "Mn", "Mo", "Mo"], "fractional_positions": [[0.0000, 0.0000, 0.0000], [0.5000, 0.5000, 0.0000], [0.0000, 0.5000, 0.5000], [0.5000, 0.0000, 0.5000]], "delta_e_f_ev_per_atom": 0.24, "final_energy_ev_per_cell": -36.2, "n_ef_per_ev_cell": 4.40}

Entry 3:
{"formula": "PaAlCoNi", "functional": "GGA-PBE", "state": "optimized geometry", "lattice_angstrom": [[0.0000, 3.1722, 3.1722], [3.1722, 0.0000, 3.1722], [3.1722, 3.1722, 0.0000]], "species": ["Pa", "Al", "Co", "Ni"], "fractional_positions": [[0.0000, 0.0000, 0.0000], [0.5000, 0.5000, 0.5000], [0.7500, 0.7500, 0.7500], [0.2500, 0.2500, 0.2500]], "delta_e_f_ev_per_atom": -0.37, "final_energy_ev_per_cell": -27.6, "n_ef_per_ev_cell": 3.25}

Entry 4:
{"formula": "Mg2ZrMn", "functional": "GGA-PBE", "state": "optimized geometry", "lattice_angstrom": [[5.1092, -1.5487, 0.0000], [5.1092, 1.5487, 0.0000], [-1.6666, 0.0000, 5.0433]], "species": ["Mg", "Mg", "Zr", "Mn"], "fractional_positions": [[0.0000, 0.0000, 0.0000], [0.2377, 0.2377, 0.8185], [0.7807, 0.7807, 0.3491], [0.5172, 0.5172, 0.4816]], "delta_e_f_ev_per_atom": 0.18, "final_energy_ev_per_cell": -20.2, "n_ef_per_ev_cell": 2.92}